A geometry-optimized LiYPuTc structure. Source: Alexandria, functional PBE.

a = 4.904 Å, b = 4.904 Å, c = 4.904 Å
α = 60.00°, β = 60.00°, γ = 60.00°
Last column: magnetic moment on the atom in μB.
Fractional positions:
Y: 0.750 0.750 0.750  0.03
Li: 0.000 0.000 0.000  0.04
Tc: 0.500 0.500 0.500  -0.71
Pu: 0.250 0.250 0.250  5.13

Summary:
Total moment in μB per formula unit: 4.7
V in Å³/atom: 20.84
Energy relative to the elements in eV per atom: 0.1068